[1]
LaCuHg | PBEsol | optimized geometry

abc: 4.6523 4.6523 3.6174
angles: 90.00 90.00 120.00
Last column: nearest neighbours and their distance in Å.
Fractional coordinates of all 3 atoms:
La: 0.0000 0.0000 0.0000  6 Hg 3.24, 6 Cu 3.24, 2 La 3.62
Cu: 0.6667 0.3333 0.5000  3 Hg 2.69
Hg: 0.3333 0.6667 0.5000  3 Cu 2.69

The theoretical density is 9.87 g cm⁻³. The space group is P-6m2 (187). The final energy is -11.3 eV per formula unit.

[2]
CsS3 | PBEsol | optimized geometry

abc: 4.6358 9.1323 11.3515
angles: 93.86 95.07 90.20
Last column: nearest neighbours and their distance in Å.
Fractional coordinates of all 16 atoms:
Cs: 0.0434 0.3280 0.0944  10 S 3.46-3.78
Cs: 0.1110 0.6923 0.3883  10 S 3.49-3.81
Cs: 0.8890 0.3077 0.6117  10 S 3.49-3.81
Cs: 0.9566 0.6720 0.9056  10 S 3.46-3.78
S: 0.1953 0.0127 0.7899  2 S 2.05-2.09
S: 0.3574 0.9656 0.6253  2 S 2.08-2.09
S: 0.3605 0.2103 0.3645  2 S 2.03-2.08
S: 0.4266 0.6058 0.6730  1 S 2.03
S: 0.4606 0.3549 0.8489  1 S 2.05
S: 0.4851 0.1425 0.8977  2 S 2.05
S: 0.5149 0.8575 0.1023  2 S 2.05
S: 0.5394 0.6451 0.1511  1 S 2.05
S: 0.5734 0.3942 0.3270  1 S 2.03
S: 0.6395 0.7897 0.6355  2 S 2.03-2.08
S: 0.6426 0.0344 0.3747  2 S 2.08-2.09
S: 0.8047 0.9873 0.2101  2 S 2.05-2.09

The theoretical density is 3.19 g cm⁻³. The space group is P-1 (2). The final energy is -16.4 eV per formula unit.

[3]
KSi2Hg | PBEsol | optimized geometry

abc: 4.3225 4.3225 4.5496
angles: 90.00 90.00 90.00
Last column: nearest neighbours and their distance in Å.
Fractional coordinates of all 4 atoms:
K: 0.0000 0.0000 0.0000  4 Hg 3.06, 8 Si 3.14
Si: 0.0000 0.5000 0.5000  4 Si 3.06, 4 Hg 3.14, 4 K 3.14
Si: 0.5000 0.0000 0.5000  4 Si 3.06, 4 Hg 3.14, 4 K 3.14
Hg: 0.5000 0.5000 0.0000  4 K 3.06, 8 Si 3.14

The theoretical density is 5.78 g cm⁻³. The space group is P4/mmm (123). The final energy is -11.1 eV per formula unit.

[4]
Y2Rh | PBEsol | optimized geometry

abc: 4.7442 4.7442 4.7442
angles: 60.00 60.00 60.00
Last column: nearest neighbours and their distance in Å.
Fractional coordinates of all 3 atoms:
Y: 0.2500 0.2500 0.2500  4 Rh 2.91
Y: 0.7500 0.7500 0.7500  4 Rh 2.91
Rh: 0.0000 0.0000 0.0000  8 Y 2.91

The theoretical density is 6.17 g cm⁻³. The space group is Fm-3m (225). The final energy is -23.3 eV per formula unit.

[5]
PdPbSCl2 | PBEsol | optimized geometry

abc: 5.2473 5.2473 5.1562
angles: 90.00 90.00 90.00
Last column: nearest neighbours and their distance in Å.
Fractional coordinates of all 5 atoms:
Pd: 0.0000 0.0000 0.0000  8 Cl 3.68, 4 S 3.71
Pb: 0.5000 0.5000 0.5000  2 S 2.58, 4 Cl 2.62
S: 0.5000 0.5000 0.0000  2 Pb 2.58
Cl: 0.0000 0.5000 0.5000  2 Pb 2.62
Cl: 0.5000 0.0000 0.5000  2 Pb 2.62

The theoretical density is 4.87 g cm⁻³. The space group is P4/mmm (123). The final energy is -16.5 eV per formula unit.

[6]
BaNbNO2 | PBEsol | optimized geometry

abc: 4.1220 4.1220 4.1119
angles: 90.00 90.00 90.00
Last column: nearest neighbours and their distance in Å.
Fractional coordinates of all 5 atoms:
Ba: 0.0000 0.0000 0.0000  8 O 2.91, 4 N 2.91
Nb: 0.5000 0.5000 0.5000  2 N 2.06, 4 O 2.06
N: 0.5000 0.5000 0.0000  2 Nb 2.06
O: 0.0000 0.5000 0.5000  2 Nb 2.06
O: 0.5000 0.0000 0.5000  2 Nb 2.06

The theoretical density is 6.57 g cm⁻³. The space group is P4/mmm (123). The final energy is -42.9 eV per formula unit.